(1)
# Y3Mn2Fe7

An optimized crystal structure of Y3Mn2Fe7 (PBE, Alexandria).

abc: 5.0790 5.0790 8.5918
angles: 72.81 72.81 60.00
Site moments in Bohr magnetons follow the coordinates.
Fractional coordinates of all 12 atoms:
Y 0.0000 0.0000 0.0000  -0.23
Y 0.8587 0.8587 0.4238  -0.33
Y 0.1413 0.1413 0.5762  -0.33
Mn 0.6673 0.6673 0.9980  1.91
Mn 0.3327 0.3327 0.0020  1.91
Fe 0.5000 0.5000 0.5000  2.02
Fe 0.9190 0.4195 0.2419  1.74
Fe 0.4195 0.9190 0.2419  1.74
Fe 0.4195 0.4195 0.2419  1.74
Fe 0.0810 0.5805 0.7581  1.74
Fe 0.5805 0.5805 0.7581  1.74
Fe 0.5805 0.0810 0.7581  1.74

electronic total energy = -97.06 eV/f.u.
energy relative to the elements = -8 meV/atom

(2)
# TbGdAu

An optimized crystal structure of TbGdAu (PBE, Alexandria).

abc: 5.0055 5.0055 5.0055
angles: 60.00 60.00 60.00
Site moments in Bohr magnetons follow the coordinates.
Fractional coordinates of all 3 atoms:
Tb 0.0000 0.0000 0.0000  0.12
Gd 0.5000 0.5000 0.5000  7.10
Au 0.2500 0.2500 0.2500  0.02

E above lowest polymorph = 109 meV/atom
electronic total energy = -23.29 eV/f.u.
energy relative to the elements = -435 meV/atom

(3)
# KNpBi2

An optimized crystal structure of KNpBi2 (PBE, Alexandria).

abc: 4.7060 4.7060 8.6304
angles: 74.18 74.18 60.00
Site moments in Bohr magnetons follow the coordinates.
Fractional coordinates of all 4 atoms:
Np 0.0000 0.0000 0.0000  3.64
K 0.5000 0.5000 0.5000  -0.01
Bi 0.2684 0.2684 0.1947  -0.13
Bi 0.7316 0.7316 0.8053  -0.13

E above lowest polymorph = 194 meV/atom
electronic total energy = -21.68 eV/f.u.
energy relative to the elements = 30 meV/atom

(4)
# Sc3PS

An optimized crystal structure of Sc3PS (PBE, Alexandria).

abc: 4.7279 4.7279 4.7279
angles: 90.00 90.00 90.00
Fractional coordinates of all 5 atoms:
Sc 0.0000 0.5000 0.0000
Sc 0.0000 0.0000 0.5000
Sc 0.5000 0.0000 0.0000
P 0.5000 0.5000 0.5000
S 0.0000 0.0000 0.0000

ΔE_f (raw) = -654 meV per atom
E above lowest polymorph = 601 meV/atom
electronic total energy = -31.80 eV/f.u.

(5)
# CaYPu2N4

An optimized crystal structure of CaYPu2N4 (PBE, Alexandria).

abc: 4.9484 4.9484 5.9677
angles: 114.50 114.50 89.99
Site moments in Bohr magnetons follow the coordinates.
Fractional coordinates of all 8 atoms:
Ca 0.4372 0.4372 0.0000  0.03
Y 0.9372 0.9372 0.0000  0.12
Pu 0.1872 0.6872 0.5000  4.62
Pu 0.6872 0.1872 0.5000  4.62
N 0.9372 0.4372 0.0000  -0.18
N 0.4372 0.9372 0.0000  -0.18
N 0.1801 0.1801 0.4862  -0.21
N 0.6939 0.6939 0.5138  -0.21

ΔE_f (raw) = -1286 meV per atom
electronic total energy = -80.72 eV/f.u.

(6)
# Gd2Fe12P7

An optimized crystal structure of Gd2Fe12P7 (PBE, Alexandria).

abc: 3.6484 8.9853 8.9854
angles: 120.00 90.00 90.00
Site moments in Bohr magnetons follow the coordinates.
Fractional coordinates of all 21 atoms:
Gd 0.0000 0.6667 0.3333  6.95
Gd 0.5000 0.3333 0.6667  6.95
Fe 0.0000 0.3709 0.9446  -0.58
Fe 0.0000 0.0554 0.4263  -0.58
Fe 0.0000 0.5737 0.6290  -0.58
Fe 0.0000 0.8810 0.7256  -0.51
Fe 0.0000 0.2744 0.1553  -0.51
Fe 0.0000 0.8447 0.1190  -0.51
Fe 0.5000 0.9521 0.5686  -0.75
Fe 0.5000 0.4314 0.3835  -0.75
Fe 0.5000 0.6165 0.0479  -0.75
Fe 0.5000 0.1192 0.9045  1.42
Fe 0.5000 0.0955 0.2147  1.42
Fe 0.5000 0.7853 0.8808  1.42
P 0.0000 0.1128 0.7028  0.01
P 0.0000 0.2972 0.4100  0.01
P 0.0000 0.5900 0.8872  0.01
P 0.5000 0.7105 0.5998  0.00
P 0.5000 0.4002 0.1106  0.00
P 0.5000 0.8894 0.2896  0.00
P 0.0000 0.0000 0.0000  0.00

electronic total energy = -182.33 eV/f.u.
energy relative to the elements = -702 meV/atom

Which value of electronic total energy does entry 4 give?
-31.80 eV/f.u.

Please write out number 1 again, unchanged.
# Y3Mn2Fe7

An optimized crystal structure of Y3Mn2Fe7 (PBE, Alexandria).

abc: 5.0790 5.0790 8.5918
angles: 72.81 72.81 60.00
Site moments in Bohr magnetons follow the coordinates.
Fractional coordinates of all 12 atoms:
Y 0.0000 0.0000 0.0000  -0.23
Y 0.8587 0.8587 0.4238  -0.33
Y 0.1413 0.1413 0.5762  -0.33
Mn 0.6673 0.6673 0.9980  1.91
Mn 0.3327 0.3327 0.0020  1.91
Fe 0.5000 0.5000 0.5000  2.02
Fe 0.9190 0.4195 0.2419  1.74
Fe 0.4195 0.9190 0.2419  1.74
Fe 0.4195 0.4195 0.2419  1.74
Fe 0.0810 0.5805 0.7581  1.74
Fe 0.5805 0.5805 0.7581  1.74
Fe 0.5805 0.0810 0.7581  1.74

electronic total energy = -97.06 eV/f.u.
energy relative to the elements = -8 meV/atom

Which of these has the highest electronic total energy?
KNpBi2

Which of these has the lowest electronic total energy?
Gd2Fe12P7